This record from Alexandria describes Ba3ZrMn2O9 after structural relaxation. The functional is PBE with a Hubbard U.

Geometry as POSCAR:
```
Ba3ZrMn2O9
1.0
-3.370 -4.644 0.266
5.667 -0.602 -0.715
0.860 -0.224 6.999
O Ba Mn Zr
9 3 2 1
direct
0.173 0.346 0.325
0.827 0.654 0.675
0.500 0.000 0.000
0.000 0.500 0.000
0.173 0.827 0.325
0.827 0.173 0.675
0.654 0.827 0.325
0.500 0.500 0.000
0.346 0.173 0.675
0.000 0.000 0.000
0.333 0.667 0.679
0.667 0.333 0.321
0.667 0.333 0.836
0.333 0.667 0.164
0.000 0.000 0.500
```

Final energy in eV/atom: -7.2958
Symmetry: P-3m1, No. 164